A relaxed structure of AlCu2AuS4. Source: Alexandria via LeMat-Bulk, functional PBE-GGA.

Values from the calculation:
formation energy (no corrections)	-396	meV/atom

abc: 5.433 5.433 6.540
angles: 114.55 114.55 90.02
Sites, in units of the cell vectors:
1 Al 0.500 0.500 0.000
2 Cu 0.750 0.250 0.500
3 Cu 0.250 0.750 0.500
4 Au 0.000 0.000 0.001
5 S 0.603 0.603 0.736
6 S 0.398 0.866 0.264
7 S 0.866 0.398 0.264
8 S 0.134 0.134 0.736